Arrangement 1

Ti2TeSeBr: relaxed, PBE-GGA.

a b c (Å): 5.338 5.381 5.338
angles (deg): 90.00 90.00 90.00
Last column: magnetic moment on the atom in μB.
Fractional coordinates of all 5 atoms:
Te 0.000 0.000 0.000  -0.08
Se 0.500 0.500 0.500  -0.14
Br 0.000 0.500 0.000  0.03
Ti 0.000 0.000 0.500  1.96
Ti 0.500 0.000 0.000  1.53

The density of states at the Fermi level comes out at 1.134 states/eV per atom. Its spin magnetization is 4.18 μB/cell. The symmetry is P4/mmm.


Arrangement 2

Ti2TeSeBr: relaxed, PBE-GGA.

a b c (Å): 4.707 5.909 4.707
angles (deg): 90.00 90.00 90.00
Fractional coordinates of all 5 atoms:
Te 0.000 0.500 0.000
Se 0.500 0.500 0.500
Br 0.000 0.000 0.000
Ti 0.000 0.000 0.500
Ti 0.500 0.000 0.000

The density of states at the Fermi level comes out at 1.269 states/eV per atom. Its spin magnetization is 0.00 μB/cell. The symmetry is P4/mmm.


We find arrangement 1 to be the most stable, with the next structure 21.4 kJ/mol of atoms higher.


Arrangement 1

TeWSeBr2: relaxed, PBE-GGA.

a b c (Å): 5.062 5.062 4.983
angles (deg): 90.00 90.00 90.00
Fractional coordinates of all 5 atoms:
Te 0.500 0.500 0.500
Se 0.000 0.000 0.500
Br 0.000 0.500 0.000
Br 0.500 0.000 0.000
W 0.000 0.000 0.000

The density of states at the Fermi level comes out at 1.055 states/eV per atom. Its spin magnetization is 0.01 μB/cell. The symmetry is P4/mmm.


Arrangement 2

TeWSeBr2: relaxed, PBE-GGA.

a b c (Å): 5.443 5.443 5.622
angles (deg): 90.00 90.00 90.00
Last column: magnetic moment on the atom in μB.
Fractional coordinates of all 5 atoms:
Te 0.000 0.000 0.000  0.02
Se 0.000 0.000 0.500  -0.14
Br 0.000 0.500 0.000  0.04
Br 0.500 0.000 0.000  0.04
W 0.500 0.500 0.500  3.57

The density of states at the Fermi level comes out at 0.987 states/eV per atom. Its spin magnetization is 4.97 μB/cell. The symmetry is P4/mmm.


We find arrangement 1 to be the most stable, with the next structure 85.6 kJ/mol of atoms higher.


Arrangement 1

ZnTeSe2Br: relaxed, PBE-GGA.

a b c (Å): 5.044 5.044 4.909
angles (deg): 90.00 90.00 90.00
Fractional coordinates of all 5 atoms:
Zn 0.000 0.000 0.000
Te 0.500 0.500 0.500
Se 0.000 0.500 0.000
Se 0.500 0.000 0.000
Br 0.000 0.000 0.500

The density of states at the Fermi level comes out at 0.698 states/eV per atom. Its spin magnetization is 0.00 μB/cell. The symmetry is P4/mmm.


Arrangement 2

ZnTeSe2Br: relaxed, PBE-GGA.

a b c (Å): 5.421 5.421 5.543
angles (deg): 90.00 90.00 90.00
Fractional coordinates of all 5 atoms:
Zn 0.500 0.500 0.500
Te 0.000 0.000 0.000
Se 0.000 0.500 0.000
Se 0.500 0.000 0.000
Br 0.000 0.000 0.500

The density of states at the Fermi level comes out at 0.786 states/eV per atom. Its spin magnetization is 0.00 μB/cell. The symmetry is P4/mmm.


We find arrangement 1 to be the most stable, with the next structure 14.1 kJ/mol of atoms higher.


Arrangement 1

ZrTeSe2Br: relaxed, PBE-GGA.

a b c (Å): 5.460 5.460 5.259
angles (deg): 90.00 90.00 90.00
Last column: magnetic moment on the atom in μB.
Fractional coordinates of all 5 atoms:
Te 0.000 0.000 0.000  0.01
Se 0.000 0.500 0.000  -0.06
Se 0.500 0.000 0.000  -0.06
Br 0.000 0.000 0.500  0.02
Zr 0.500 0.500 0.500  1.48

The density of states at the Fermi level comes out at 0.813 states/eV per atom. Its spin magnetization is 2.01 μB/cell. The symmetry is P4/mmm.


Arrangement 2

ZrTeSe2Br: relaxed, PBE-GGA.

a b c (Å): 5.277 5.277 5.266
angles (deg): 90.00 90.00 90.00
Last column: magnetic moment on the atom in μB.
Fractional coordinates of all 5 atoms:
Te 0.500 0.500 0.500  0.51
Se 0.000 0.500 0.000  0.01
Se 0.500 0.000 0.000  0.01
Br 0.000 0.000 0.500  0.02
Zr 0.000 0.000 0.000  0.14

The density of states at the Fermi level comes out at 0.947 states/eV per atom. Its spin magnetization is 1.17 μB/cell. The symmetry is P4/mmm.


We find arrangement 2 to be the most stable, with the next structure 83.1 kJ/mol of atoms higher.


Arrangement 1

TiSeBr2: relaxed, PBE-GGA.

a b c (Å): 9.634 9.634 7.231
angles (deg): 48.23 48.23 90.00
Fractional coordinates of all 8 atoms:
Se 0.000 0.000 0.000
Se 0.750 0.250 0.500
Br 0.476 0.125 0.250
Br 0.274 0.625 0.250
Br 0.375 0.524 0.750
Br 0.875 0.726 0.750
Ti 0.500 0.500 0.000
Ti 0.250 0.750 0.500

The density of states at the Fermi level comes out at 0.018 states/eV per atom. Its spin magnetization is 0.00 μB/cell. The symmetry is I-42d.


Arrangement 2

TiSeBr2: relaxed, PBE-GGA.

a b c (Å): 11.032 11.032 11.032
angles (deg): 17.29 17.29 17.29
Fractional coordinates of all 4 atoms:
Se 0.000 0.000 0.000
Br 0.887 0.887 0.887
Br 0.113 0.113 0.113
Ti 0.500 0.500 0.500

The density of states at the Fermi level comes out at 0.897 states/eV per atom. Its spin magnetization is 0.00 μB/cell. The symmetry is R-3m.


We find arrangement 1 to be the most stable, with the next structure 26.5 kJ/mol of atoms higher.


Arrangement 1

TiSeBr2: relaxed, PBE-GGA.

a b c (Å): 4.896 4.896 4.896
angles (deg): 60.00 60.00 60.00
Fractional coordinates of all 4 atoms:
Se 0.500 0.500 0.500
Br 0.250 0.250 0.250
Br 0.750 0.750 0.750
Ti 0.000 0.000 0.000

The density of states at the Fermi level comes out at 1.084 states/eV per atom. Its spin magnetization is 0.00 μB/cell. The symmetry is Fm-3m.


Arrangement 2

TiSeBr2: relaxed, PBE-GGA.

a b c (Å): 12.956 12.956 12.956
angles (deg): 14.98 14.98 14.98
Last column: magnetic moment on the atom in μB.
Fractional coordinates of all 4 atoms:
Se 0.500 0.500 0.500  0.25
Br 0.939 0.939 0.939  0.00
Br 0.061 0.061 0.061  0.00
Ti 0.000 0.000 0.000  0.01

The density of states at the Fermi level comes out at 0.629 states/eV per atom. Its spin magnetization is 0.43 μB/cell. The symmetry is R-3m.


We find arrangement 1 to be the most stable, with the next structure 1.0 kJ/mol of atoms higher.